Zr2TiTc2 | GGA-PBE | relaxed

Lattice parameters (Å, degrees): 9.434 9.434 3.182 90.00 90.00 160.42
Element x y z (fractional)
Zr  0.168  0.832  0.000
Zr  0.832  0.168  0.000
Ti  0.000  0.000  0.000
Tc  0.417  0.583  0.500
Tc  0.583  0.417  0.500

Symmetry: Cmmm, No. 65
Relative energy among the computed polymorphs in meV/atom: 0.0
Energy relative to the elements in eV per atom: -0.202
Spin magnetization in μB per formula unit: 0.0